1.
## SrZrFe2 (GGA-PBE)

Data for an optimized crystal structure of SrZrFe2.

relative energy among the computed polymorphs = 0.000 eV/atom

Cell lengths 3.9178, 3.9178, 21.0234 Å; angles 90.00, 90.00, 120.00 degrees
Last column: nearest neighbours and their distance in Å.
Space group R3m (No. 160, hexagonal axes)
Inequivalent atoms, fractional coordinates:
Sr: 0.0000 0.0000 0.0000 (multiplicity 3)  6 Fe 3.21-3.26
Zr: 0.0000 0.0000 0.8198 (multiplicity 3)  6 Fe 2.68-2.72
Fe: 0.0000 0.0000 0.2216 (multiplicity 3)  3 Fe 2.26
Fe: 0.0000 0.0000 0.5586 (multiplicity 3)  3 Fe 2.26



2.
## SrZr4Fe (GGA-PBE)

Data for an optimized crystal structure of SrZr4Fe.

Cell lengths 8.4440, 8.4440, 8.4440 Å; angles 90.00, 90.00, 90.00 degrees
Last column: nearest neighbours and their distance in Å.
Space group F-43m (No. 216)
Inequivalent atoms, fractional coordinates:
Sr: 0.0000 0.0000 0.0000 (multiplicity 4)  12 Zr 3.50, 4 Fe 3.66
Zr: 0.1238 0.1238 0.6238 (multiplicity 16)  6 Zr 2.96-3.01
Fe: 0.2500 0.2500 0.2500 (multiplicity 4)  12 Zr 3.50, 4 Sr 3.66



3.
## SrZr3Fe (GGA-PBE)

Data for an optimized crystal structure of SrZr3Fe.

relative energy among the computed polymorphs = 2.124 eV/atom

Cell lengths 5.0177, 5.0177, 5.0177 Å; angles 90.00, 90.00, 90.00 degrees
Last column: nearest neighbours and their distance in Å.
Space group Pm-3m (No. 221)
Inequivalent atoms, fractional coordinates:
Sr: 0.0000 0.0000 0.0000 (multiplicity 1)  6 Zr 2.51
Zr: 0.0000 0.0000 0.5000 (multiplicity 3)  2 Sr 2.51
Fe: 0.5000 0.5000 0.5000 (multiplicity 1)  12 Zr 3.55



4.
## SrZrFe2 (GGA-PBE)

Data for an optimized crystal structure of SrZrFe2.

relative energy among the computed polymorphs = 0.120 eV/atom

Cell lengths 3.8309, 3.9936, 11.6644 Å; angles 90.00, 90.00, 90.00 degrees
Last column: nearest neighbours and their distance in Å.
Space group Amm2 (No. 38)
Inequivalent atoms, fractional coordinates:
Sr: 0.0000 0.0000 0.0000 (multiplicity 2)  7 Fe 3.21-3.28
Zr: 0.5000 0.0000 0.2749 (multiplicity 2)  6 Fe 2.54-2.84
Fe: 0.0000 0.0000 0.7188 (multiplicity 2)  2 Fe 2.13
Fe: 0.5000 0.0000 0.6399 (multiplicity 2)  2 Fe 2.13



5.
## SrZrFe2 (GGA-PBE)

Data for an optimized crystal structure of SrZrFe2.

relative energy among the computed polymorphs = 0.145 eV/atom

Cell lengths 7.6783, 4.4440, 6.2077 Å; angles 90.00, 114.39, 90.00 degrees
Last column: nearest neighbours and their distance in Å.
Space group C2/m (No. 12)
Inequivalent atoms, fractional coordinates:
Sr: 0.0000 0.0000 0.0000 (multiplicity 2)  8 Fe 3.24-3.52
Zr: 0.0000 0.5000 0.5000 (multiplicity 2)  6 Fe 2.59-2.60
Fe: 0.1908 0.0000 0.5729 (multiplicity 4)  3 Zr 2.59-2.60, 3 Fe 2.69



6.
## SrZr3Fe (GGA-PBE)

Data for an optimized crystal structure of SrZr3Fe.

relative energy among the computed polymorphs = 0.000 eV/atom

Cell lengths 5.0246, 5.0246, 5.0246 Å; angles 90.00, 90.00, 90.00 degrees
Last column: nearest neighbours and their distance in Å.
Space group Pm-3m (No. 221)
Inequivalent atoms, fractional coordinates:
Sr: 0.0000 0.0000 0.0000 (multiplicity 1)  12 Zr 3.55
Zr: 0.0000 0.5000 0.5000 (multiplicity 3)  2 Fe 2.51
Fe: 0.5000 0.5000 0.5000 (multiplicity 1)  6 Zr 2.51



Number 1: mass density 5.18 g/cm³, calculated formation energy 0.22 eV per atom, DFT total energy -6.57 eV per atom. Number 2: mass density 5.61 g/cm³, calculated formation energy 0.73 eV per atom, DFT total energy -6.66 eV per atom. Number 3: mass density 5.48 g/cm³, calculated formation energy 2.41 eV per atom, DFT total energy -4.75 eV per atom. Number 4: mass density 5.41 g/cm³, calculated formation energy 0.34 eV per atom, DFT total energy -6.45 eV per atom. Number 5: mass density 5.00 g/cm³, calculated formation energy 0.37 eV per atom, DFT total energy -6.42 eV per atom. Number 6: mass density 5.46 g/cm³, calculated formation energy 0.28 eV per atom, DFT total energy -6.87 eV per atom.